# 1
First-principles (PBE) data for a relaxed Ta2PtSe7 crystal, as listed in OQMD.

Results
**Total magnetization**: 0.01 Bohr magnetons per cell

Structure (CIF):
```
data_Ta2PtSe7
_cell_length_a 14.544
_cell_length_b 3.567
_cell_length_c 18.908
_cell_angle_alpha 90.00
_cell_angle_beta 108.94
_cell_angle_gamma 90.00
_space_group_name_H-M_alt 'C 1 2/m 1'
_space_group_IT_number 12
_space_group_name_Hall '-C 2y'
loop_
_atom_site_label
_atom_site_type_symbol
_atom_site_fract_x
_atom_site_fract_y
_atom_site_fract_z
Ta1 Ta 0.151 0.000 0.399
Ta2 Ta 0.230 0.000 0.092
Pt1 Pt 0.189 0.500 0.209
Se1 Se 0.029 0.500 0.420
Se2 Se 0.071 0.500 0.295
Se3 Se 0.079 0.000 0.128
Se4 Se 0.144 0.500 0.989
Se5 Se 0.153 0.000 0.829
Se6 Se 0.205 0.000 0.553
Se7 Se 0.237 0.500 0.695
```

---

# 2
First-principles (PBE) data for a relaxed CoNi2Sb crystal, as listed in OQMD.

Results
**Total magnetization**: 2.04 Bohr magnetons per cell

Structure (CIF):
```
data_CoNi2Sb
_cell_length_a 5.890
_cell_length_b 5.890
_cell_length_c 5.890
_cell_angle_alpha 90.00
_cell_angle_beta 90.00
_cell_angle_gamma 90.00
_space_group_name_H-M_alt 'F -4 3 m'
_space_group_IT_number 216
_space_group_name_Hall 'F -4 2 3'
loop_
_atom_site_label
_atom_site_type_symbol
_atom_site_fract_x
_atom_site_fract_y
_atom_site_fract_z
Co1 Co 0.000 0.000 0.000
Ni1 Ni 0.000 0.000 0.500
Ni2 Ni 0.250 0.250 0.750
Sb1 Sb 0.250 0.250 0.250
```

---

# 3
First-principles (PBE) data for a relaxed GdSbN2O crystal, as listed in OQMD.

Results
**Total magnetization**: 0.00 Bohr magnetons per cell

Structure (CIF):
```
data_GdSbN2O
_cell_length_a 7.996
_cell_length_b 7.980
_cell_length_c 5.630
_cell_angle_alpha 90.00
_cell_angle_beta 134.50
_cell_angle_gamma 90.00
_space_group_name_H-M_alt 'C 1 2/m 1'
_space_group_IT_number 12
_space_group_name_Hall '-C 2y'
loop_
_atom_site_label
_atom_site_type_symbol
_atom_site_fract_x
_atom_site_fract_y
_atom_site_fract_z
Gd1 Gd 0.230 0.000 0.465
Sb1 Sb 0.250 0.250 0.000
N1 N 0.000 0.191 0.000
N2 N 0.142 0.500 0.870
O1 O 0.000 0.177 0.500
```

---

# 4
First-principles (PBE) data for a relaxed NbIrAu crystal, as listed in OQMD.

Results
**Relative energy among the computed polymorphs**: 0.000 eV/atom
**Total magnetization**: 0.01 Bohr magnetons per cell

Structure (CIF):
```
data_NbIrAu
_cell_length_a 6.184
_cell_length_b 6.184
_cell_length_c 6.184
_cell_angle_alpha 90.00
_cell_angle_beta 90.00
_cell_angle_gamma 90.00
_space_group_name_H-M_alt 'F -4 3 m'
_space_group_IT_number 216
_space_group_name_Hall 'F -4 2 3'
loop_
_atom_site_label
_atom_site_type_symbol
_atom_site_fract_x
_atom_site_fract_y
_atom_site_fract_z
Nb1 Nb 0.000 0.000 0.000
Ir1 Ir 0.250 0.250 0.750
Au1 Au 0.000 0.000 0.500
```

---

# 5
First-principles (PBE) data for a relaxed CdHgAsO crystal, as listed in OQMD.

Results
**Relative energy among the computed polymorphs**: 0.113 eV/atom

Structure (CIF):
```
data_CdHgAsO
_cell_length_a 4.264
_cell_length_b 4.264
_cell_length_c 8.983
_cell_angle_alpha 90.00
_cell_angle_beta 90.00
_cell_angle_gamma 90.00
_space_group_name_H-M_alt 'P 4/n m m'
_space_group_IT_number 129
loop_
_space_group_symop_operation_xyz
'x,y,z'
'-x,-y,-z'
'-y+1/2,x,z'
'y+1/2,-x,-z'
'-x+1/2,-y+1/2,z'
'x+1/2,y+1/2,-z'
'y,-x+1/2,z'
'-y,x+1/2,-z'
'x+1/2,-y,-z'
'-x+1/2,y,z'
'-y,-x,-z'
'y,x,z'
'-x,y+1/2,-z'
'x,-y+1/2,z'
'y+1/2,x+1/2,-z'
'-y+1/2,-x+1/2,z'
loop_
_atom_site_label
_atom_site_type_symbol
_atom_site_fract_x
_atom_site_fract_y
_atom_site_fract_z
Cd1 Cd 0.250 0.250 0.079
Hg1 Hg 0.250 0.750 0.500
As1 As 0.250 0.250 0.706
O1 O 0.250 0.750 0.000
```

---

# 6
First-principles (PBE) data for a relaxed NaNpCu crystal, as listed in OQMD.

Results
**Relative energy among the computed polymorphs**: 0.000 eV/atom
**Total magnetization**: 18.55 Bohr magnetons per cell

Structure (CIF):
```
data_NaNpCu
_cell_length_a 6.775
_cell_length_b 6.775
_cell_length_c 6.775
_cell_angle_alpha 90.00
_cell_angle_beta 90.00
_cell_angle_gamma 90.00
_space_group_name_H-M_alt 'F -4 3 m'
_space_group_IT_number 216
_space_group_name_Hall 'F -4 2 3'
loop_
_atom_site_label
_atom_site_type_symbol
_atom_site_fract_x
_atom_site_fract_y
_atom_site_fract_z
Na1 Na 0.000 0.000 0.000
Np1 Np 0.000 0.000 0.500
Cu1 Cu 0.250 0.250 0.250
```

---

# 7
First-principles (PBE) data for a relaxed Nb2AgHg crystal, as listed in OQMD.

Results
**Total magnetization**: 0.04 Bohr magnetons per cell

Structure (CIF):
```
data_Nb2AgHg
_cell_length_a 6.708
_cell_length_b 6.708
_cell_length_c 6.708
_cell_angle_alpha 90.00
_cell_angle_beta 90.00
_cell_angle_gamma 90.00
_space_group_name_H-M_alt 'F -4 3 m'
_space_group_IT_number 216
_space_group_name_Hall 'F -4 2 3'
loop_
_atom_site_label
_atom_site_type_symbol
_atom_site_fract_x
_atom_site_fract_y
_atom_site_fract_z
Nb1 Nb 0.000 0.000 0.000
Nb2 Nb 0.250 0.250 0.250
Ag1 Ag 0.250 0.250 0.750
Hg1 Hg 0.000 0.000 0.500
```

---

# 8
First-principles (PBE) data for a relaxed TbPa3N6 crystal, as listed in OQMD.

Results
**Total magnetization**: 0.05 Bohr magnetons per cell

Structure (CIF):
```
data_TbPa3N6
_cell_length_a 7.780
_cell_length_b 11.171
_cell_length_c 3.665
_cell_angle_alpha 90.00
_cell_angle_beta 90.00
_cell_angle_gamma 90.00
_space_group_name_H-M_alt 'C m m m'
_space_group_IT_number 65
_space_group_name_Hall '-C 2 2'
loop_
_atom_site_label
_atom_site_type_symbol
_atom_site_fract_x
_atom_site_fract_y
_atom_site_fract_z
Tb1 Tb 0.000 0.000 0.000
Pa1 Pa 0.000 0.500 0.000
Pa2 Pa 0.250 0.250 0.500
N1 N 0.000 0.150 0.500
N2 N 0.202 0.370 0.000
```

---

no.,E_tot (eV/f.u.)
1,-60.46
2,-22.48
3,-34.98
4,-21.79
5,-11.18
6,-13.96
7,-21.18
8,-97.49